Entry 1:
K2YCl2 after structural relaxation. Source: Alexandria via LeMat-Bulk, functional GGA-PBEsol.

a b c (Å): 4.8858 4.8858 7.7761
angles (deg): 108.31 108.31 90.00
Closest atoms and distances in Å follow each position.
Element x y z (fractional)
Cl  0.6231  0.6231  0.2463  4 K 3.02
Cl  0.3769  0.3769  0.7537  4 K 3.02
Y  0.0000  0.0000  0.0000  8 Cl 3.86, 8 K 4.25
K  0.2500  0.7500  0.5000  4 Cl 3.02
K  0.7500  0.2500  0.5000  4 Cl 3.02

Summary:
calculated density	2.38	g/cm³
volume	166.3	Å³/cell
density of states at the Fermi level	2.28	states/eV/f.u.
DFT total energy	-3.259	eV per atom
formation energy from raw total energies	-0.638	eV per atom

***

Entry 2:
K3YCl6 after structural relaxation. Source: Alexandria via LeMat-Bulk, functional GGA-PBEsol.

a b c (Å): 7.6990 12.3993 12.9470
angles (deg): 109.72 90.00 90.00
Closest atoms and distances in Å follow each position.
Element x y z (fractional)
Cl  0.2020  0.6078  0.6662  1 Y 2.63
Cl  0.9674  0.1482  0.8993  1 Y 2.60
Cl  0.7063  0.0747  0.1070  1 Y 2.65
Cl  0.4674  0.3518  0.1007  1 Y 2.60
Cl  0.8693  0.6961  0.4985  1 Y 2.64
Cl  0.2668  0.0003  0.3536  1 Y 2.61
Cl  0.1700  0.1508  0.1552  1 Y 2.59
Cl  0.0326  0.8518  0.1007  1 Y 2.60
Cl  0.1307  0.3039  0.5015  1 Y 2.64
Cl  0.2332  0.5003  0.3536  1 Y 2.61
Cl  0.3693  0.8039  0.5015  1 Y 2.64
Cl  0.7668  0.4997  0.6464  1 Y 2.61
Cl  0.8300  0.8492  0.8448  1 Y 2.59
Cl  0.2063  0.4253  0.8930  1 Y 2.65
Cl  0.6307  0.1961  0.4985  1 Y 2.64
Cl  0.7332  0.9997  0.6464  1 Y 2.61
Cl  0.7020  0.8922  0.3338  1 Y 2.63
Cl  0.2980  0.1078  0.6662  1 Y 2.63
Cl  0.3300  0.6508  0.1552  1 Y 2.59
Cl  0.2937  0.9253  0.8930  1 Y 2.65
Cl  0.7980  0.3922  0.3338  1 Y 2.63
Cl  0.6700  0.3492  0.8448  1 Y 2.59
Cl  0.5326  0.6482  0.8993  1 Y 2.60
Cl  0.7937  0.5747  0.1070  1 Y 2.65
K  0.0437  0.3746  0.1123  7 Cl 3.16-3.38
K  0.5547  0.7307  0.6854  5 Cl 2.98-3.26
K  0.9453  0.2307  0.6854  5 Cl 2.98-3.26
K  0.4188  0.3890  0.6767  6 Cl 3.07-3.23
K  0.0547  0.7693  0.3146  5 Cl 2.98-3.26
K  0.9563  0.6254  0.8877  7 Cl 3.16-3.38
K  0.5437  0.1254  0.8877  7 Cl 3.16-3.38
K  0.9188  0.1110  0.3233  6 Cl 3.07-3.23
K  0.5812  0.6110  0.3233  6 Cl 3.07-3.23
K  0.0812  0.8890  0.6767  6 Cl 3.07-3.23
K  0.4563  0.8746  0.1123  7 Cl 3.16-3.38
K  0.4453  0.2693  0.3146  5 Cl 2.98-3.26
Y  0.0000  0.5000  0.5000  6 Cl 2.61-2.64
Y  0.5000  0.0000  0.5000  6 Cl 2.61-2.64
Y  0.5000  0.5000  0.0000  6 Cl 2.59-2.65
Y  0.0000  0.0000  0.0000  6 Cl 2.59-2.65

Summary:
calculated density	2.39	g/cm³
volume	1163.5	Å³/cell
density of states at the Fermi level	0.00	states/eV/f.u.
DFT total energy	-4.350	eV per atom
formation energy from raw total energies	-2.123	eV per atom

***

Entry 3:
K3YCl6 after structural relaxation. Source: Alexandria via LeMat-Bulk, functional GGA-PBEsol.

a b c (Å): 7.7721 7.7721 7.7721
angles (deg): 60.00 60.00 60.00
Closest atoms and distances in Å follow each position.
Element x y z (fractional)
Cl  0.7641  0.7641  0.2359  1 Y 2.59, 1 K 2.90
Cl  0.2359  0.7641  0.7641  1 Y 2.59, 1 K 2.90
Cl  0.2359  0.2359  0.7641  1 Y 2.59, 1 K 2.90
Cl  0.2359  0.7641  0.2359  1 Y 2.59, 1 K 2.90
Cl  0.7641  0.2359  0.2359  1 Y 2.59, 1 K 2.90
Cl  0.7641  0.2359  0.7641  1 Y 2.59, 1 K 2.90
K  0.5000  0.5000  0.5000  6 Cl 2.90
K  0.2500  0.2500  0.2500  12 Cl 3.89
K  0.7500  0.7500  0.7500  12 Cl 3.89
Y  0.0000  0.0000  0.0000  6 Cl 2.59

Summary:
calculated density	2.10	g/cm³
volume	332.0	Å³/cell
density of states at the Fermi level	0.00	states/eV/f.u.
DFT total energy	-4.269	eV per atom
formation energy from raw total energies	-2.042	eV per atom

***

Entry 4:
K2ZnCl after structural relaxation. Source: Alexandria via LeMat-Bulk, functional GGA-PBEsol.

a b c (Å): 3.8914 5.5948 5.5948
angles (deg): 90.00 90.00 90.00
Closest atoms and distances in Å follow each position.
Element x y z (fractional)
K  0.0000  0.5000  0.0000  4 Zn 3.41, 4 Cl 3.41
K  0.0000  0.0000  0.5000  4 Cl 3.41, 4 Zn 3.41
Cl  0.5000  0.0000  0.0000  8 K 3.41
Zn  0.5000  0.5000  0.5000  8 K 3.41

Summary:
calculated density	2.44	g/cm³
volume	121.8	Å³/cell
density of states at the Fermi level	1.76	states/eV/f.u.
DFT total energy	-2.103	eV per atom
formation energy from raw total energies	-0.638	eV per atom

***

Entry 5:
KZn2Cl after structural relaxation. Source: Alexandria via LeMat-Bulk, functional GGA-PBEsol.

a b c (Å): 4.8146 5.2813 5.2813
angles (deg): 67.48 62.88 62.88
Closest atoms and distances in Å follow each position.
Element x y z (fractional)
Zn  0.2971  0.2029  0.2029  2 Zn 2.61
Zn  0.9351  0.0649  0.0649  2 Zn 2.61
K  0.7513  0.7487  0.7487  4 Cl 3.10-3.40, 5 Zn 3.23-3.35
Cl  0.5165  0.4835  0.4835  5 Zn 3.08-3.35, 4 K 3.10-3.40

Summary:
calculated density	3.29	g/cm³
volume	103.8	Å³/cell
density of states at the Fermi level	0.40	states/eV/f.u.
DFT total energy	-1.892	eV per atom
formation energy from raw total energies	-0.315	eV per atom

***

Entry 6:
K2ZnCl4 after structural relaxation. Source: Alexandria via LeMat-Bulk, functional GGA-PBEsol.

a b c (Å): 7.0130 8.8440 12.6344
angles (deg): 90.00 90.00 90.00
Closest atoms and distances in Å follow each position.
Element x y z (fractional)
Cl  0.7500  0.5344  0.9242  1 Zn 2.22
Cl  0.0062  0.6772  0.6500  1 Zn 2.25
Cl  0.7500  0.0344  0.5758  1 Zn 2.22
Cl  0.5062  0.3228  0.3500  1 Zn 2.25
Cl  0.2500  0.8126  0.9050  1 Zn 2.27
Cl  0.0062  0.1772  0.8500  1 Zn 2.25
Cl  0.2500  0.3126  0.5950  1 Zn 2.27
Cl  0.7500  0.1874  0.0950  1 Zn 2.27
Cl  0.4938  0.6772  0.6500  1 Zn 2.25
Cl  0.7500  0.6874  0.4050  1 Zn 2.27
Cl  0.2500  0.4656  0.0758  1 Zn 2.22
Cl  0.4938  0.1772  0.8500  1 Zn 2.25
Cl  0.9938  0.8228  0.1500  1 Zn 2.25
Cl  0.5062  0.8228  0.1500  1 Zn 2.25
Cl  0.2500  0.9656  0.4242  1 Zn 2.22
Cl  0.9938  0.3228  0.3500  1 Zn 2.25
K  0.7500  0.3835  0.5635  6 Cl 3.09-3.35
K  0.2500  0.1165  0.0635  6 Cl 3.09-3.35
K  0.2500  0.6165  0.4365  6 Cl 3.09-3.35
K  0.2500  0.4813  0.8210  7 Cl 3.12-3.25
K  0.7500  0.8835  0.9365  6 Cl 3.09-3.35
K  0.7500  0.5187  0.1790  7 Cl 3.12-3.25
K  0.2500  0.9813  0.6790  7 Cl 3.12-3.25
K  0.7500  0.0187  0.3210  7 Cl 3.12-3.25
Zn  0.7500  0.2830  0.9281  4 Cl 2.22-2.27
Zn  0.2500  0.7170  0.0719  4 Cl 2.22-2.27
Zn  0.2500  0.2170  0.4281  4 Cl 2.22-2.27
Zn  0.7500  0.7830  0.5719  4 Cl 2.22-2.27

Summary:
calculated density	2.42	g/cm³
volume	783.6	Å³/cell
density of states at the Fermi level	0.00	states/eV/f.u.
DFT total energy	-3.319	eV per atom
formation energy from raw total energies	-1.622	eV per atom

***

Entry 7:
K2Zr7Cl18 after structural relaxation. Source: Alexandria via LeMat-Bulk, functional GGA-PBEsol.

a b c (Å): 9.3970 9.3970 10.1170
angles (deg): 62.33 62.33 60.00
Closest atoms and distances in Å follow each position.
Element x y z (fractional)
Zr  0.8357  0.0988  0.8511  5 Cl 2.52-2.72
Zr  0.7856  0.1643  0.1489  5 Cl 2.52-2.72
Zr  0.1643  0.9012  0.1489  5 Cl 2.52-2.72
Zr  0.0988  0.2144  0.8511  5 Cl 2.52-2.72
Zr  0.9012  0.7856  0.1489  5 Cl 2.52-2.72
Zr  0.2144  0.8357  0.8511  5 Cl 2.52-2.72
Zr  0.5000  0.5000  0.5000  6 Cl 2.48
Cl  0.7124  0.8637  0.9938  2 Zr 2.52
Cl  0.2125  0.4810  0.6669  2 Zr 2.48-2.72
Cl  0.4301  0.7124  0.9938  2 Zr 2.52
Cl  0.8637  0.4301  0.9938  2 Zr 2.52
Cl  0.6468  0.9409  0.3405  2 Zr 2.54
Cl  0.5699  0.2876  0.0062  2 Zr 2.52
Cl  0.9409  0.0718  0.3405  2 Zr 2.54
Cl  0.4810  0.6397  0.6669  2 Zr 2.48-2.72
Cl  0.5190  0.3603  0.3331  2 Zr 2.48-2.72
Cl  0.9282  0.3532  0.6595  2 Zr 2.54
Cl  0.1363  0.5699  0.0062  2 Zr 2.52
Cl  0.7875  0.5190  0.3331  2 Zr 2.48-2.72
Cl  0.0591  0.9282  0.6595  2 Zr 2.54
Cl  0.2876  0.1363  0.0062  2 Zr 2.52
Cl  0.3603  0.7875  0.3331  2 Zr 2.48-2.72
Cl  0.6397  0.2125  0.6669  2 Zr 2.48-2.72
Cl  0.0718  0.6468  0.3405  2 Zr 2.54
Cl  0.3532  0.0591  0.6595  2 Zr 2.54
K  0.2234  0.2234  0.3297  12 Cl 3.45-3.62
K  0.7766  0.7766  0.6703  12 Cl 3.45-3.62

Summary:
calculated density	3.45	g/cm³
volume	653.0	Å³/cell
density of states at the Fermi level	7.51	states/eV/f.u.
DFT total energy	-5.519	eV per atom
formation energy from raw total energies	-1.739	eV per atom

***

Entry 8:
KZrCl2 after structural relaxation. Source: Alexandria via LeMat-Bulk, functional GGA-PBEsol.

a b c (Å): 3.6226 3.6226 7.4902
angles (deg): 90.00 90.00 90.00
Closest atoms and distances in Å follow each position.
Element x y z (fractional)
K  0.0000  0.0000  0.4538  4 Cl 3.07
Zr  0.5000  0.5000  0.8828  5 Cl 2.58-2.59
Cl  0.0000  0.0000  0.9365  4 Zr 2.59
Cl  0.5000  0.5000  0.2269  1 Zr 2.58

Summary:
calculated density	3.40	g/cm³
volume	98.3	Å³/cell
density of states at the Fermi level	2.55	states/eV/f.u.
DFT total energy	-4.510	eV per atom
formation energy from raw total energies	-0.951	eV per atom
energy above the lowest structure with this stoichiometry	50	meV per atom

***

Entry 9:
KZrCl after structural relaxation. Source: Alexandria via LeMat-Bulk, functional GGA-PBEsol.

a b c (Å): 3.3903 3.3903 7.4107
angles (deg): 90.00 90.00 120.00
Closest atoms and distances in Å follow each position.
Element x y z (fractional)
K  0.3333  0.6667  0.7004  3 Cl 3.13, 6 K 3.39
Zr  0.6667  0.3333  0.2700  3 Cl 2.65
Cl  0.0000  0.0000  0.0296  3 Zr 2.65

Summary:
calculated density	3.73	g/cm³
volume	73.8	Å³/cell
density of states at the Fermi level	1.73	states/eV/f.u.
DFT total energy	-4.587	eV per atom
formation energy from raw total energies	-0.510	eV per atom
energy above the lowest structure with this stoichiometry	0	meV per atom

***

Entry 10:
KZrCl2 after structural relaxation. Source: Alexandria via LeMat-Bulk, functional GGA-PBEsol.

a b c (Å): 3.2522 5.4189 5.4189
angles (deg): 90.06 90.68 90.68
Closest atoms and distances in Å follow each position.
Element x y z (fractional)
Cl  0.0000  0.5000  0.0000  2 Zr 2.71, 2 K 2.71
Cl  0.0000  0.0000  0.5000  2 K 2.71, 2 Zr 2.71
K  0.0000  0.0000  0.0000  4 Cl 2.71
Zr  0.0000  0.5000  0.5000  4 Cl 2.71

Summary:
calculated density	3.50	g/cm³
volume	95.5	Å³/cell
density of states at the Fermi level	2.55	states/eV/f.u.
DFT total energy	-4.410	eV per atom
formation energy from raw total energies	-0.851	eV per atom
energy above the lowest structure with this stoichiometry	150	meV per atom

***

Entry 11:
KZr2Cl after structural relaxation. Source: Alexandria via LeMat-Bulk, functional GGA-PBEsol.

a b c (Å): 3.1204 6.5406 6.5406
angles (deg): 63.00 76.20 76.20
Closest atoms and distances in Å follow each position.
Element x y z (fractional)
K  0.2090  0.2910  0.2910  2 Cl 3.03, 2 K 3.12
Zr  0.7741  0.7259  0.7259  2 Cl 2.59, 2 Zr 2.86
Zr  0.0499  0.9501  0.9501  4 Zr 2.86-3.12
Cl  0.4670  0.5330  0.5330  2 Zr 2.59

Summary:
calculated density	3.74	g/cm³
volume	114.2	Å³/cell
density of states at the Fermi level	1.30	states/eV/f.u.
DFT total energy	-5.179	eV per atom
formation energy from raw total energies	0.151	eV per atom
energy above the lowest structure with this stoichiometry	550	meV per atom

***

Entry 12:
KZr2Cl after structural relaxation. Source: Alexandria via LeMat-Bulk, functional GGA-PBEsol.

a b c (Å): 3.1899 3.1899 9.6086
angles (deg): 90.00 90.00 90.00
Closest atoms and distances in Å follow each position.
Element x y z (fractional)
Zr  0.0000  0.0000  0.0522  8 Zr 3.06-3.19
Zr  0.5000  0.5000  0.2674  4 Cl 3.03, 8 Zr 3.06-3.19
K  0.5000  0.5000  0.7020  4 Cl 3.12, 4 K 3.19
Cl  0.0000  0.0000  0.4783  4 Zr 3.03, 4 K 3.12, 4 Cl 3.19

Summary:
calculated density	4.36	g/cm³
volume	97.8	Å³/cell
density of states at the Fermi level	1.05	states/eV/f.u.
DFT total energy	-5.729	eV per atom
formation energy from raw total energies	-0.399	eV per atom
energy above the lowest structure with this stoichiometry	0	meV per atom

***

Question: Number 12 is which compound?
Answer: KZr2Cl